(1)
Here is a geometry-optimized BeCdW2 structure from Alexandria via LeMat-Bulk. Energies are from PBE.

Properties
- Energy of formation: 988 meV per atom
- N(E_F): 4.73 states/eV/f.u.
- Offset from the most stable computed form: 61.5 kJ/mol of atoms

```
data_BeCdW2
_chemical_formula_sum 'Be4 Cd4 W8'
_cell_length_a 6.251
_cell_length_b 6.251
_cell_length_c 6.251
_cell_angle_alpha 90.00
_cell_angle_beta 90.00
_cell_angle_gamma 90.00
_space_group_name_H-M_alt 'F m -3 m'
_space_group_IT_number 225
_space_group_name_Hall '-F 4 2 3'
loop_
_atom_site_label
_atom_site_fract_x
_atom_site_fract_y
_atom_site_fract_z
Be1 0.000 0.000 0.000
Cd1 0.000 0.000 0.500
W1 0.250 0.250 0.250
```

(2)
Here is a geometry-optimized KCuCl2 structure from Alexandria via LeMat-Bulk. Energies are from PBE.

Properties
- N(E_F): 1.94 states/eV/f.u.
- Uncorrected formation energy: -0.3319 eV/atom
- Offset from the most stable computed form: 84.0 kJ/mol of atoms

```
data_KCuCl2
_chemical_formula_sum 'K4 Cu4 Cl8'
_cell_length_a 7.201
_cell_length_b 7.201
_cell_length_c 7.201
_cell_angle_alpha 90.00
_cell_angle_beta 90.00
_cell_angle_gamma 90.00
_space_group_name_H-M_alt 'F -4 3 m'
_space_group_IT_number 216
_space_group_name_Hall 'F -4 2 3'
loop_
_atom_site_label
_atom_site_fract_x
_atom_site_fract_y
_atom_site_fract_z
K1 0.000 0.000 0.000
Cu1 0.250 0.250 0.750
Cl1 0.000 0.000 0.500
Cl2 0.250 0.250 0.250
```

(3)
Here is a geometry-optimized ScSb2O structure from Alexandria via LeMat-Bulk. Energies are from PBE.

Properties
- N(E_F): 2.26 states/eV/f.u.
- Uncorrected formation energy: -0.3991 eV/atom
- Offset from the most stable computed form: 0.0 kJ/mol of atoms

```
data_ScSb2O
_chemical_formula_sum 'Sc4 Sb8 O4'
_cell_length_a 6.844
_cell_length_b 6.844
_cell_length_c 7.479
_cell_angle_alpha 90.00
_cell_angle_beta 90.00
_cell_angle_gamma 90.00
_space_group_name_H-M_alt 'I -4 2 d'
_space_group_IT_number 122
_space_group_name_Hall 'I -4 2bw'
loop_
_atom_site_label
_atom_site_fract_x
_atom_site_fract_y
_atom_site_fract_z
Sc1 0.000 0.000 0.000
Sb1 0.162 0.250 0.625
O1 0.000 0.000 0.500
```

(4)
Here is a geometry-optimized PRuAu structure from Alexandria via LeMat-Bulk. Energies are from PBE.

Properties
- Energy of formation: -4 meV per atom
- N(E_F): 1.52 states/eV/f.u.
- Offset from the most stable computed form: 8.5 kJ/mol of atoms

```
data_PRuAu
_chemical_formula_sum 'P1 Ru1 Au1'
_cell_length_a 2.9093
_cell_length_b 2.9093
_cell_length_c 6.6938
_cell_angle_alpha 90.00
_cell_angle_beta 90.00
_cell_angle_gamma 120.00
_space_group_name_H-M_alt 'P 3 m 1'
_space_group_IT_number 156
_space_group_name_Hall 'P 3 -2"'
loop_
_atom_site_label
_atom_site_fract_x
_atom_site_fract_y
_atom_site_fract_z
P1 0.0000 0.0000 0.0000
Ru1 0.6667 0.3333 0.2349
Au1 0.3333 0.6667 0.5980
```

(5)
Here is a geometry-optimized BaPm2Pt structure from Alexandria via LeMat-Bulk. Energies are from PBE.

Properties
- Energy of formation: -523 meV per atom
- N(E_F): 3.81 states/eV/f.u.
- Offset from the most stable computed form: 0.0 kJ/mol of atoms

```
data_BaPm2Pt
_chemical_formula_sum 'Ba3 Pm6 Pt3'
_cell_length_a 4.3046
_cell_length_b 4.3046
_cell_length_c 29.0282
_cell_angle_alpha 90.00
_cell_angle_beta 90.00
_cell_angle_gamma 120.00
_space_group_name_H-M_alt 'R 3 m'
_space_group_IT_number 160
_space_group_name_Hall 'R 3 -2"'
loop_
_atom_site_label
_atom_site_fract_x
_atom_site_fract_y
_atom_site_fract_z
Ba1 0.0000 0.0000 0.0000
Pm1 0.0000 0.0000 0.2185
Pm2 0.0000 0.0000 0.4513
Pt1 0.0000 0.0000 0.8346
```

(6)
Here is a geometry-optimized KCuSiP2 structure from Alexandria via LeMat-Bulk. Energies are from PBE.

Properties
- N(E_F): 0.69 states/eV/f.u.
- Uncorrected formation energy: -0.2659 eV/atom

```
data_KCuSiP2
_chemical_formula_sum 'K4 Cu4 Si4 P8'
_cell_length_a 12.327
_cell_length_b 3.803
_cell_length_c 9.345
_cell_angle_alpha 90.00
_cell_angle_beta 98.47
_cell_angle_gamma 90.00
_space_group_name_H-M_alt 'C 1 2/m 1'
_space_group_IT_number 12
_space_group_name_Hall '-C 2y'
loop_
_atom_site_label
_atom_site_fract_x
_atom_site_fract_y
_atom_site_fract_z
K1 0.152 0.000 0.158
Cu1 0.186 0.000 0.564
Si1 0.060 0.500 0.659
P1 0.114 0.000 0.797
P2 0.121 0.500 0.436
```

N(E_F) of number 6 (KCuSiP2)?
0.69 states/eV/f.u.